No. 1
Entry from the Alexandria database: a relaxed structure of LaPm6Sm2Y3 (GGA-PBE).

Cell and atoms, written as extended XYZ:
```
12
Lattice="3.153 -5.462 0.000 3.153 5.462 0.000 -2.103 0.000 11.846" Properties=species:S:1:pos:R:3 pbc="T T T"
La 0.000 0.000 0.000
Pm 1.054 1.825 2.996
Pm 0.003 0.000 8.847
Pm 1.054 -1.825 2.996
Pm 3.149 1.825 8.850
Pm 4.200 0.000 2.999
Pm 3.149 -1.825 8.850
Sm 3.153 1.819 0.000
Sm 3.153 -1.819 0.000
Y 2.102 3.637 5.923
Y 2.102 0.000 5.923
Y 2.102 -3.637 5.923
```

DOS(E_F) ... 17.32 states/eV/cell
E_form ... 15.4 meV per atom
Calculated total energy ... -5.17 eV/atom
Crystal system ... monoclinic

---

No. 2
Entry from the Alexandria database: a relaxed structure of La2PmSm6Y3 (GGA-PBE).

Cell and atoms, written as extended XYZ:
```
12
Lattice="3.152 -5.462 0.000 3.152 5.462 0.000 -2.106 0.000 11.868" Properties=species:S:1:pos:R:3 pbc="T T T"
La 3.152 3.643 0.000
La 3.152 -3.643 0.000
Pm 3.152 0.000 0.000
Sm -0.004 1.818 8.850
Sm 1.054 0.000 3.018
Sm -0.004 -1.818 8.850
Sm 4.200 1.818 3.018
Sm 3.142 0.000 8.850
Sm 4.200 -1.818 3.018
Y -1.053 0.000 5.934
Y 2.098 1.818 5.934
Y 2.098 -1.818 5.934
```

DOS(E_F) ... 18.53 states/eV/cell
E_form ... 18.5 meV per atom
Calculated total energy ... -5.17 eV/atom
Crystal system ... monoclinic